Record 1
Computed, not measured: crystalline InMo2Au at its relaxed geometry at the PBE level of DFT.

Final energy (eV/atom): -6.75
Formation energy (kJ/mol of formula units): 65.2
Space-group type: No. 99

a b c (Å): 3.3599 3.3599 6.3261
angles (deg): 90.00 90.00 90.00
Fractional coordinates of all 4 atoms:
Mo (0.0000, 0.0000, 0.0362)
Mo (0.5000, 0.5000, 0.2187)
Au (0.0000, 0.0000, 0.4974)
In (0.5000, 0.5000, 0.7477)

---

Record 2
Computed, not measured: crystalline InMo2PAu at its relaxed geometry at the PBE level of DFT.

Final energy (eV/atom): -4.82
Formation energy (kJ/mol of formula units): 867.6
Space-group type: No. 123

a b c (Å): 5.1358 4.9735 5.1358
angles (deg): 90.00 90.00 90.00
Site moments in Bohr magnetons follow the coordinates.
Fractional coordinates of all 5 atoms:
Mo (0.0000, 0.0000, 0.5000)  2.76
Mo (0.5000, 0.0000, 0.0000)  2.58
In (0.0000, 0.5000, 0.0000)  -0.03
Au (0.0000, 0.0000, 0.0000)  0.14
P (0.5000, 0.5000, 0.5000)  -0.25

---

Record 3
Computed, not measured: crystalline RbIn2MoAu at its relaxed geometry at the PBE level of DFT.

Final energy (eV/atom): -2.31
Formation energy (kJ/mol of formula units): 869.9
Space-group type: No. 123

a b c (Å): 7.0005 5.9283 7.0005
angles (deg): 90.00 90.00 90.00
Site moments in Bohr magnetons follow the coordinates.
Fractional coordinates of all 5 atoms:
Mo (0.5000, 0.5000, 0.5000)  4.06
In (0.5000, 0.0000, 0.0000)  -0.12
In (0.0000, 0.0000, 0.5000)  -0.07
Au (0.0000, 0.5000, 0.0000)  0.01
Rb (0.0000, 0.0000, 0.0000)  -0.02